1.
A relaxed Mg2ReHO crystal, computed with PBE.

POSCAR file:
```
Mg2ReHO
1.0
4.450 0.000 0.000
0.000 4.450 0.000
0.000 0.000 3.835
Mg Re H O
2 1 1 1
Direct
0.000 0.500 0.000
0.500 0.000 0.000
0.000 0.000 0.500
0.500 0.500 0.500
0.000 0.000 0.000
```

Results
**Calculated total energy**: -22.4 eV per cell
**Theoretical density**: 5.5 g/cm3
**Magnetization**: 0.000 μB per atom
**Space-group type**: P4/mmm, No. 123

2.
A relaxed BaSr2As crystal, computed with PBE.

POSCAR file:
```
BaSr2As
1.0
5.054 0.000 0.000
0.000 5.054 0.000
0.000 0.000 11.556
Ba Sr As
2 4 2
Direct
0.000 0.000 0.000
0.500 0.500 0.500
0.000 0.000 0.500
0.000 0.500 0.750
0.500 0.000 0.250
0.500 0.500 0.000
0.000 0.500 0.250
0.500 0.000 0.750
```

Results
**DFT formation energy**: -110 kJ/mol of formula units
**Calculated total energy**: -22.1 eV per cell
**Theoretical density**: 4.4 g/cm3
**Magnetization**: 0.000 μB per atom
**Space-group type**: I-4m2, No. 119

3.
A relaxed Pr2YHg4 crystal, computed with PBE.

POSCAR file:
```
Pr2YHg4
1.0
2.591 1.496 9.074
-2.591 1.496 9.074
0.000 -2.992 9.074
Pr Y Hg
2 1 4
Direct
0.244 0.244 0.244
0.756 0.756 0.756
0.000 0.000 0.000
0.127 0.127 0.127
0.370 0.370 0.370
0.630 0.630 0.630
0.873 0.873 0.873
```

Results
**DFT formation energy**: -239 kJ/mol of formula units
**Calculated total energy**: -19.7 eV per cell
**Theoretical density**: 9.2 g/cm3
**Magnetization**: 0.000 μB per atom
**Offset from the most stable computed form**: 0 meV/atom
**Space-group type**: R-3m, No. 166